No. 1
# Li2MgTi (PBE, optimized geometry)
# * E_tot: -37.076 eV for the cell shown
# * formation enthalpy at 0 K: 0.24 eV per atom
data_Li2MgTi
_chemical_formula_sum 'Li6 Mg3 Ti3'
_cell_length_a 2.8561
_cell_length_b 2.8561
_cell_length_c 32.2474
_cell_angle_alpha 90.00
_cell_angle_beta 90.00
_cell_angle_gamma 120.00
_space_group_name_H-M_alt 'R -3 m'
_space_group_IT_number 166
_space_group_name_Hall '-R 3 2"'
loop_
_atom_site_label
_atom_site_type_symbol
_atom_site_fract_x
_atom_site_fract_y
_atom_site_fract_z
_atom_site_occupancy
Li1 Li 0.0000 0.0000 0.0849 1
Mg1 Mg 0.0000 0.0000 0.5000 1
Ti1 Ti 0.0000 0.0000 0.0000 1

=====

No. 2
# U3SiSe6 (PBE, optimized geometry)
# * E_tot: -275.398 eV for the cell shown
# * energy relative to the elements, uncorrected: -19.96 kcal/mol of atoms
data_U3SiSe6
_chemical_formula_sum 'U12 Si4 Se24'
_cell_length_a 10.975
_cell_length_b 13.551
_cell_length_c 7.058
_cell_angle_alpha 90.00
_cell_angle_beta 90.00
_cell_angle_gamma 90.00
_space_group_name_H-M_alt 'C m c 21'
_space_group_IT_number 36
loop_
_space_group_symop_operation_xyz
'x,y,z'
'-x,-y,z+1/2'
'-x,y,z'
'x,-y,z+1/2'
'x+1/2,y+1/2,z'
'-x+1/2,-y+1/2,z+1/2'
'-x+1/2,y+1/2,z'
'x+1/2,-y+1/2,z+1/2'
loop_
_atom_site_label
_atom_site_type_symbol
_atom_site_fract_x
_atom_site_fract_y
_atom_site_fract_z
_atom_site_occupancy
U1 U 0.000 0.101 0.000 1
U2 U 0.179 0.400 0.108 1
Si1 Si 0.000 0.328 0.642 1
Se1 Se 0.000 0.266 0.259 1
Se2 Se 0.000 0.487 0.856 1
Se3 Se 0.163 0.035 0.303 1
Se4 Se 0.166 0.240 0.813 1

=====

No. 3
# Ba2ScSn (PBE, optimized geometry)
# * E_tot: -54.121 eV for the cell shown
# * formation enthalpy at 0 K: 0.16 eV per atom
data_Ba2ScSn
_chemical_formula_sum 'Ba8 Sc4 Sn4'
_cell_length_a 9.727
_cell_length_b 9.727
_cell_length_c 6.637
_cell_angle_alpha 90.00
_cell_angle_beta 90.00
_cell_angle_gamma 90.00
_space_group_name_H-M_alt 'I -4 2 d'
_space_group_IT_number 122
_space_group_name_Hall 'I -4 2bw'
loop_
_atom_site_label
_atom_site_type_symbol
_atom_site_fract_x
_atom_site_fract_y
_atom_site_fract_z
_atom_site_occupancy
Ba1 Ba 0.226 0.250 0.125 1
Sc1 Sc 0.000 0.000 0.500 1
Sn1 Sn 0.000 0.000 0.000 1

=====

No. 4
# Al2CrRh (PBE, optimized geometry)
# * E_tot: -25.425 eV for the cell shown
# * formation enthalpy at 0 K: -0.24 eV per atom
data_Al2CrRh
_chemical_formula_sum 'Al2 Cr1 Rh1'
_cell_length_a 2.776
_cell_length_b 2.776
_cell_length_c 7.406
_cell_angle_alpha 90.00
_cell_angle_beta 90.00
_cell_angle_gamma 90.00
_space_group_name_H-M_alt 'P 4 m m'
_space_group_IT_number 99
loop_
_space_group_symop_operation_xyz
'x,y,z'
'-y,x,z'
'-x,-y,z'
'y,-x,z'
'-x,y,z'
'y,x,z'
'x,-y,z'
'-y,-x,z'
loop_
_atom_site_label
_atom_site_type_symbol
_atom_site_fract_x
_atom_site_fract_y
_atom_site_fract_z
_atom_site_occupancy
Al1 Al 0.000 0.000 0.000 1
Al2 Al 0.500 0.500 0.302 1
Cr1 Cr 0.000 0.000 0.539 1
Rh1 Rh 0.500 0.500 0.766 1

=====

No. 5
# Sr6Li15Zn8 (PBE, optimized geometry)
# * E_tot: -205.962 eV for the cell shown
# * formation enthalpy at 0 K: -0.09 eV per atom
data_Sr6Li15Zn8
_chemical_formula_sum 'Sr24 Li60 Zn32'
_cell_length_a 14.066
_cell_length_b 14.066
_cell_length_c 14.066
_cell_angle_alpha 90.00
_cell_angle_beta 90.00
_cell_angle_gamma 90.00
_space_group_name_H-M_alt 'F m -3 m'
_space_group_IT_number 225
_space_group_name_Hall '-F 4 2 3'
loop_
_atom_site_label
_atom_site_type_symbol
_atom_site_fract_x
_atom_site_fract_y
_atom_site_fract_z
_atom_site_occupancy
Sr1 Sr 0.000 0.000 0.228 1
Li1 Li 0.000 0.000 0.500 1
Li2 Li 0.000 0.250 0.250 1
Li3 Li 0.178 0.178 0.178 1
Zn1 Zn 0.131 0.131 0.369 1

=====

No. 6
# Cd2SbTe2 (PBE, optimized geometry)
# * E_tot: -23.140 eV for the cell shown
# * energy relative to the elements, uncorrected: 3.07 kcal/mol of atoms
data_Cd2SbTe2
_chemical_formula_sum 'Cd4 Sb2 Te4'
_cell_length_a 4.181
_cell_length_b 4.181
_cell_length_c 16.305
_cell_angle_alpha 90.00
_cell_angle_beta 90.00
_cell_angle_gamma 90.00
_space_group_name_H-M_alt 'I 4/m m m'
_space_group_IT_number 139
_space_group_name_Hall '-I 4 2'
loop_
_atom_site_label
_atom_site_type_symbol
_atom_site_fract_x
_atom_site_fract_y
_atom_site_fract_z
_atom_site_occupancy
Cd1 Cd 0.000 0.500 0.250 1
Sb1 Sb 0.000 0.000 0.000 1
Te1 Te 0.000 0.000 0.393 1

=====

No. 7
# Na2Ga4Pt3Rh (PBE, optimized geometry)
# * E_tot: -45.836 eV for the cell shown
# * formation enthalpy at 0 K: -0.56 eV per atom
data_Na2Ga4Pt3Rh
_chemical_formula_sum 'Na2 Ga4 Pt3 Rh1'
_cell_length_a 4.232
_cell_length_b 4.232
_cell_length_c 10.454
_cell_angle_alpha 90.00
_cell_angle_beta 90.00
_cell_angle_gamma 90.00
_space_group_name_H-M_alt 'P -4 m 2'
_space_group_IT_number 115
loop_
_space_group_symop_operation_xyz
'x,y,z'
'y,-x,-z'
'-x,-y,z'
'-y,x,-z'
'-x,y,z'
'-y,-x,-z'
'x,-y,z'
'y,x,-z'
loop_
_atom_site_label
_atom_site_type_symbol
_atom_site_fract_x
_atom_site_fract_y
_atom_site_fract_z
_atom_site_occupancy
Na1 Na 0.000 0.500 0.240 1
Ga1 Ga 0.000 0.000 0.500 1
Ga2 Ga 0.000 0.500 0.871 1
Ga3 Ga 0.500 0.500 0.500 1
Pt1 Pt 0.000 0.000 0.000 1
Pt2 Pt 0.000 0.500 0.633 1
Rh1 Rh 0.500 0.500 0.000 1

=====

No. 8
# Sr2InGa4Au3 (PBE, optimized geometry)
# * E_tot: -33.461 eV for the cell shown
# * formation enthalpy at 0 K: -0.54 eV per atom
data_Sr2InGa4Au3
_chemical_formula_sum 'Sr2 In1 Ga4 Au3'
_cell_length_a 4.489
_cell_length_b 4.489
_cell_length_c 11.253
_cell_angle_alpha 90.00
_cell_angle_beta 90.00
_cell_angle_gamma 90.00
_space_group_name_H-M_alt 'P -4 m 2'
_space_group_IT_number 115
loop_
_space_group_symop_operation_xyz
'x,y,z'
'y,-x,-z'
'-x,-y,z'
'-y,x,-z'
'-x,y,z'
'-y,-x,-z'
'x,-y,z'
'y,x,-z'
loop_
_atom_site_label
_atom_site_type_symbol
_atom_site_fract_x
_atom_site_fract_y
_atom_site_fract_z
_atom_site_occupancy
Sr1 Sr 0.000 0.500 0.243 1
In1 In 0.000 0.000 0.500 1
Ga1 Ga 0.000 0.000 0.000 1
Ga2 Ga 0.000 0.500 0.644 1
Ga3 Ga 0.500 0.500 0.000 1
Au1 Au 0.000 0.500 0.873 1
Au2 Au 0.500 0.500 0.500 1

=====

No. 9
# Na8AlS6 (PBE, optimized geometry)
# * E_tot: -106.780 eV for the cell shown
# * energy relative to the elements, uncorrected: -22.03 kcal/mol of atoms
data_Na8AlS6
_chemical_formula_sum 'Na16 Al2 S12'
_cell_length_a 7.637
_cell_length_b 8.103
_cell_length_c 11.826
_cell_angle_alpha 90.00
_cell_angle_beta 90.00
_cell_angle_gamma 90.00
_space_group_name_H-M_alt 'P m n 21'
_space_group_IT_number 31
loop_
_space_group_symop_operation_xyz
'x,y,z'
'-x+1/2,-y,z+1/2'
'-x,y,z'
'x+1/2,-y,z+1/2'
loop_
_atom_site_label
_atom_site_type_symbol
_atom_site_fract_x
_atom_site_fract_y
_atom_site_fract_z
_atom_site_occupancy
Na1 Na 0.000 0.132 0.000 1
Na2 Na 0.000 0.237 0.438 1
Na3 Na 0.206 0.570 0.789 1
Na4 Na 0.217 0.715 0.111 1
Na5 Na 0.219 0.943 0.768 1
Al1 Al 0.000 0.747 0.488 1
S1 S 0.000 0.258 0.216 1
S2 S 0.000 0.509 0.590 1
S3 S 0.000 0.783 0.931 1
S4 S 0.000 0.986 0.586 1
S5 S 0.210 0.747 0.350 1